1.
{
  "formula": "CoSbW2",
  "functional": "PBE",
  "state": "optimized geometry",
  "e_tot_ev_per_cell": -34.9,
  "e_form_raw_ev_per_atom": 0.569,
  "lattice": [[-2.781, 0.605, -0.583], [-0.940, -3.988, 0.343], [-0.951, 0.675, 5.237]],
  "species": ["W", "W", "Sb", "Co"],
  "fractional_positions": [[0.000, 0.000, 0.481], [0.000, 0.000, 0.019], [0.500, 0.500, 0.750], [0.500, 0.500, 0.250]]
}


2.
{
  "formula": "Co2SbW",
  "functional": "PBE",
  "state": "optimized geometry",
  "e_tot_ev_per_cell": -29.3,
  "e_form_raw_ev_per_atom": 0.486,
  "lattice": [[-0.541, 0.510, -2.842], [-4.056, -2.574, 0.310], [-4.868, 1.737, 1.238]],
  "species": ["Co", "Co", "W", "Sb"],
  "fractional_positions": [[0.000, 0.000, 0.000], [0.500, 0.500, 0.000], [0.000, 0.000, 0.500], [0.500, 0.500, 0.500]]
}


3.
{
  "formula": "Co2SbW",
  "functional": "PBE",
  "state": "optimized geometry",
  "e_tot_ev_per_cell": -30.4,
  "e_form_raw_ev_per_atom": 0.220,
  "lattice": [[-0.418, 0.384, -3.224], [1.609, -2.754, -0.537], [-3.138, -5.576, -0.257]],
  "species": ["Co", "Co", "W", "Sb"],
  "fractional_positions": [[0.000, 0.028, 0.972], [0.000, 0.472, 0.528], [0.500, 0.750, 0.750], [0.500, 0.250, 0.250]]
}


4.
{
  "formula": "Co2SbW",
  "functional": "PBE",
  "state": "optimized geometry",
  "e_tot_ev_per_cell": -30.1,
  "e_form_raw_ev_per_atom": 0.290,
  "lattice": [[4.550, 0.009, 0.004], [3.500, 2.906, 0.004], [0.773, 0.280, 4.469]],
  "species": ["Co", "Co", "W", "Sb"],
  "fractional_positions": [[0.998, 0.998, 0.017], [0.743, 0.743, 0.765], [0.264, 0.264, 0.178], [0.494, 0.494, 0.540]]
}


5.
{
  "formula": "CoSbW2",
  "functional": "PBE",
  "state": "optimized geometry",
  "e_tot_ev_per_cell": -34.7,
  "e_form_raw_ev_per_atom": 0.604,
  "lattice": [[-4.384, 1.152, 1.824], [-0.094, -2.948, -3.895], [0.123, -2.369, 1.790]],
  "species": ["Sb", "Co", "W", "W"],
  "fractional_positions": [[0.000, 0.500, 0.500], [0.500, 0.000, 0.500], [0.000, 0.000, 0.000], [0.500, 0.500, 0.000]]
}


6.
{
  "formula": "Co2SbW",
  "functional": "PBE",
  "state": "optimized geometry",
  "e_tot_ev_per_cell": -29.8,
  "e_form_raw_ev_per_atom": 0.364,
  "lattice": [[-0.884, -1.619, -3.867], [2.111, -0.591, -3.681], [1.573, -4.691, 0.604]],
  "species": ["Co", "Co", "W", "Sb"],
  "fractional_positions": [[0.522, 0.522, 0.443], [0.978, 0.978, 0.057], [0.250, 0.250, 0.250], [0.750, 0.750, 0.750]]
}


7.
{
  "formula": "CoSbW2",
  "functional": "PBE",
  "state": "optimized geometry",
  "e_tot_ev_per_cell": -35.1,
  "e_form_raw_ev_per_atom": 0.516,
  "lattice": [[-4.472, -0.226, -0.322], [-2.477, -0.794, 3.659], [-2.543, 3.264, 1.740]],
  "species": ["W", "W", "Co", "Sb"],
  "fractional_positions": [[0.250, 0.250, 0.250], [0.000, 0.000, 0.000], [0.500, 0.500, 0.500], [0.750, 0.750, 0.750]]
}


8.
{
  "formula": "CoSbW2",
  "functional": "PBE",
  "state": "optimized geometry",
  "e_tot_ev_per_cell": -34.9,
  "e_form_raw_ev_per_atom": 0.561,
  "lattice": [[-1.593, -0.339, -3.829], [0.074, -2.858, 0.222], [-4.978, -1.524, 2.207]],
  "species": ["Co", "W", "W", "Sb"],
  "fractional_positions": [[0.500, 0.250, 0.250], [0.000, 0.520, 0.475], [0.000, 0.980, 0.025], [0.500, 0.750, 0.750]]
}